[1]
A relaxed GdHf2N3 crystal, computed with GGA-PBE.

Output
Uncorrected energy   -60.03 eV/f.u.
Magnetization   0.000 μB per formula unit
ρ   12.2 Mg/m³

Lattice parameters (Å, degrees): 3.2674 3.2674 8.1567 90.00 90.00 120.00
Element x y z (fractional)
Gd  0.0000  0.0000  0.0000
Hf  0.3333  0.6667  0.3382
Hf  0.6667  0.3333  0.6618
N  0.0000  0.0000  0.5000
N  0.3333  0.6667  0.8067
N  0.6667  0.3333  0.1933



[2]
A relaxed GdHfN2 crystal, computed with GGA-PBE.

Output
Uncorrected energy   -37.66 eV/f.u.
Magnetization   0.000 μB per formula unit
ρ   11.4 Mg/m³

Lattice parameters (Å, degrees): 3.3497 3.3497 4.7190 90.00 90.00 90.00
Element x y z (fractional)
Gd  0.0000  0.0000  0.0000
Hf  0.5000  0.5000  0.5000
N  0.0000  0.0000  0.5000
N  0.5000  0.5000  0.0000



[3]
A relaxed GdHfNO crystal, computed with GGA-PBE.

Output
Uncorrected energy   -35.86 eV/f.u.
Polymorph energy (0 for the lowest one)   0.131 eV/atom
Magnetization   0.002 μB per formula unit
ρ   8.6 Mg/m³

Lattice parameters (Å, degrees): 4.1875 4.1875 8.0952 90.00 90.00 90.00
Element x y z (fractional)
Gd  0.2500  0.2500  0.1195
Gd  0.7500  0.7500  0.8805
Hf  0.2500  0.7500  0.5000
Hf  0.7500  0.2500  0.5000
N  0.2500  0.2500  0.5459
N  0.7500  0.7500  0.4541
O  0.2500  0.7500  0.0000
O  0.7500  0.2500  0.0000



[4]
A relaxed GdHfNO crystal, computed with GGA-PBE.

Output
Uncorrected energy   -36.03 eV/f.u.
Polymorph energy (0 for the lowest one)   0.089 eV/atom
Magnetization   0.004 μB per formula unit
ρ   9.8 Mg/m³

Lattice parameters (Å, degrees): 4.1357 5.9552 5.0399 90.00 90.00 90.00
Element x y z (fractional)
Gd  0.0000  0.1846  0.0000
Gd  0.0000  0.8154  0.5000
Hf  0.5000  0.2770  0.5190
Hf  0.5000  0.7230  0.0190
N  0.0000  0.2164  0.5066
N  0.0000  0.7836  0.0066
O  0.5000  0.3838  0.9227
O  0.5000  0.6162  0.4227